Material: Fe2SbF8
Method: DFT, PBE+U
State: optimized geometry

The structure belongs to space group P-3m1 (No. 164); the cell edges are 6.7872, 6.7872 and 4.0184 Å and the angles 90.00°, 90.00° and 120.00°. The distinct sites, in fractional coordinates, are Fe at (0.3333, 0.6667, 0.2537), Sb at (0.0000, 0.0000, 0.0000), F at (0.1668, 0.3337, 0.2542) and F at (0.3333, 0.6667, 0.7527).

As for the offset from the most stable computed form: 79 meV per atom. As for the total magnetic moment: 0.82 μB per atom. The volume comes out at 14.57 Å³ per atom. The value obtained for the total energy is -4.972 eV/atom.


Material: FeSbF4
Method: DFT, PBE+U
State: optimized geometry

The structure belongs to space group C2/m (No. 12); the cell edges are 13.379, 4.442 and 6.913 Å and the angles 90.00°, 109.62° and 90.00°. The distinct sites, in fractional coordinates, are Fe at (0.087, 0.000, 0.246), Sb at (0.229, 0.000, 0.840), F at (0.071, 0.000, 0.913), F at (0.107, 0.000, 0.556), F at (0.115, 0.500, 0.212) and F at (0.243, 0.000, 0.320).

As for the total magnetic moment: 0.65 μB per atom. The volume comes out at 16.13 Å³ per atom. The value obtained for the total energy is -4.911 eV/atom.


Material: Fe4SbF12
Method: DFT, PBE+U
State: optimized geometry

The structure belongs to space group I4/mmm (No. 139); the cell edges are 8.174, 8.174 and 7.642 Å and the angles 90.00°, 90.00° and 90.00°. The distinct sites, in fractional coordinates, are Fe at (0.250, 0.250, 0.250), Sb at (0.000, 0.000, 0.000), F at (0.000, 0.229, 0.183) and F at (0.206, 0.206, 0.500).

As for the total magnetic moment: 1.00 μB per atom. The volume comes out at 15.02 Å³ per atom. The value obtained for the total energy is -5.240 eV/atom.


Material: Sr2FeSbF
Method: DFT, PBE+U
State: optimized geometry

The structure belongs to space group P4/mmm (No. 123); the cell edges are 4.862, 4.862 and 6.028 Å and the angles 90.00°, 90.00° and 90.00°. The distinct sites, in fractional coordinates, are Sr at (0.000, 0.500, 0.000), Fe at (0.000, 0.000, 0.500), Sb at (0.500, 0.500, 0.500) and F at (0.500, 0.500, 0.000).

As for the total magnetic moment: 0.81 μB per atom. The volume comes out at 28.50 Å³ per atom. The value obtained for the total energy is -3.765 eV/atom.


Material: FeSbTe2F
Method: DFT, PBE+U
State: optimized geometry

The structure belongs to space group P4/mmm (No. 123); the cell edges are 5.346, 5.346 and 4.376 Å and the angles 90.00°, 90.00° and 90.00°. The distinct sites, in fractional coordinates, are Fe at (0.000, 0.000, 0.000), Sb at (0.500, 0.500, 0.000), Te at (0.000, 0.500, 0.500) and F at (0.500, 0.500, 0.500).

As for the offset from the most stable computed form: 138 meV per atom. As for the total magnetic moment: 0.83 μB per atom. The volume comes out at 25.01 Å³ per atom. The value obtained for the total energy is -3.139 eV/atom.


Material: FeSbTe2F
Method: DFT, PBE+U
State: optimized geometry

The structure belongs to space group P4/mmm (No. 123); the cell edges are 5.126, 5.126 and 5.123 Å and the angles 90.00°, 90.00° and 90.00°. The distinct sites, in fractional coordinates, are Fe at (0.000, 0.000, 0.000), Sb at (0.000, 0.000, 0.500), Te at (0.000, 0.500, 0.000) and F at (0.500, 0.500, 0.500).

As for the offset from the most stable computed form: 0 meV per atom. As for the total magnetic moment: 0.77 μB per atom. The volume comes out at 26.93 Å³ per atom. The value obtained for the total energy is -3.277 eV/atom.


Material: TlFeSbF6
Method: DFT, PBE+U
State: optimized geometry

The structure belongs to space group P1 (No. 1); the cell edges are 5.574, 5.803 and 5.947 Å and the angles 61.45°, 89.90° and 89.52°. The distinct sites, in fractional coordinates, are Tl at (0.000, 0.000, 0.000), Fe at (0.524, 0.333, 0.327), Sb at (0.476, 0.666, 0.662), F at (0.329, 0.294, 0.067), F at (0.336, 0.040, 0.642), F at (0.349, 0.670, 0.295), F at (0.714, 0.421, 0.580), F at (0.714, 0.956, 0.439) and F at (0.717, 0.590, 0.962).

As for the total magnetic moment: 0.44 μB per atom. The volume comes out at 18.77 Å³ per atom. The value obtained for the total energy is -4.849 eV/atom.


Material: Tl2FeSbF6
Method: DFT, PBE+U
State: optimized geometry

The structure belongs to space group Pmmn (No. 59, origin choice 2); the cell edges are 5.949, 10.304 and 6.355 Å and the angles 90.00°, 90.00° and 90.00°. The distinct sites, in fractional coordinates, are Tl at (0.250, 0.001, 0.235), Fe at (0.250, 0.250, 0.825), Sb at (0.250, 0.750, 0.669), F at (0.001, 0.250, 0.585), F at (0.007, 0.250, 0.085) and F at (0.250, 0.056, 0.843).

As for the total magnetic moment: 0.50 μB per atom. The volume comes out at 19.48 Å³ per atom. The value obtained for the total energy is -4.532 eV/atom.


Material: ScFe3F
Method: DFT, PBE+U
State: optimized geometry

The structure belongs to space group Pm-3m (No. 221); the cell edges are 5.107, 5.107 and 5.107 Å and the angles 90.00°, 90.00° and 90.00°. The distinct sites, in fractional coordinates, are Sc at (0.000, 0.000, 0.000), Fe at (0.000, 0.000, 0.500) and F at (0.500, 0.500, 0.500).

As for the offset from the most stable computed form: 979 meV per atom. As for the total magnetic moment: 2.00 μB per atom. The volume comes out at 26.64 Å³ per atom. The value obtained for the total energy is -3.578 eV/atom.


Material: ScFeF3
Method: DFT, PBE+U
State: optimized geometry

The structure belongs to space group Pm-3m (No. 221); the cell edges are 4.191, 4.191 and 4.191 Å and the angles 90.00°, 90.00° and 90.00°. The distinct sites, in fractional coordinates, are Sc at (0.000, 0.000, 0.000), Fe at (0.500, 0.500, 0.500) and F at (0.000, 0.000, 0.500).

As for the offset from the most stable computed form: 0 meV per atom. As for the total magnetic moment: 0.64 μB per atom. The volume comes out at 14.73 Å³ per atom. The value obtained for the total energy is -5.825 eV/atom.


Material: ScFe3F
Method: DFT, PBE+U
State: optimized geometry

The structure belongs to space group Pm-3m (No. 221); the cell edges are 4.379, 4.379 and 4.379 Å and the angles 90.00°, 90.00° and 90.00°. The distinct sites, in fractional coordinates, are Sc at (0.000, 0.000, 0.000), Fe at (0.000, 0.500, 0.500) and F at (0.500, 0.500, 0.500).

As for the offset from the most stable computed form: 0 meV per atom. As for the total magnetic moment: 2.03 μB per atom. The volume comes out at 16.80 Å³ per atom. The value obtained for the total energy is -4.557 eV/atom.


Material: Sc2FeF
Method: DFT, PBE+U
State: optimized geometry

The structure belongs to space group R-3m (No. 166, hexagonal axes); the cell edges are 3.4033, 3.4033 and 23.9451 Å and the angles 90.00°, 90.00° and 120.00°. The distinct sites, in fractional coordinates, are Sc at (0.0000, 0.0000, 0.0853), Fe at (0.0000, 0.0000, 0.5000) and F at (0.0000, 0.0000, 0.0000).

As for the offset from the most stable computed form: 0 meV per atom. As for the total magnetic moment: 0.37 μB per atom. The volume comes out at 20.02 Å³ per atom. The value obtained for the total energy is -5.927 eV/atom.


Material: ScFeF3
Method: DFT, PBE+U
State: optimized geometry

The structure belongs to space group Pm-3m (No. 221); the cell edges are 4.039, 4.039 and 4.039 Å and the angles 90.00°, 90.00° and 90.00°. The distinct sites, in fractional coordinates, are Sc at (0.000, 0.000, 0.000), Fe at (0.500, 0.500, 0.500) and F at (0.000, 0.500, 0.500).

As for the offset from the most stable computed form: 899 meV per atom. As for the total magnetic moment: 0.37 μB per atom. The volume comes out at 13.18 Å³ per atom. The value obtained for the total energy is -4.926 eV/atom.


Material: Sc2FeF
Method: DFT, PBE+U
State: optimized geometry

The structure belongs to space group Fm-3m (No. 225); the cell edges are 6.304, 6.304 and 6.304 Å and the angles 90.00°, 90.00° and 90.00°. The distinct sites, in fractional coordinates, are Sc at (0.250, 0.250, 0.250), Fe at (0.000, 0.000, 0.000) and F at (0.000, 0.000, 0.500).

As for the offset from the most stable computed form: 1111 meV per atom. As for the total magnetic moment: 0.00 μB per atom. The volume comes out at 15.66 Å³ per atom. The value obtained for the total energy is -4.816 eV/atom.


Material: ScTlFeF6
Method: DFT, PBE+U
State: optimized geometry

The structure belongs to space group C2 (No. 5); the cell edges are 5.618, 9.802 and 5.944 Å and the angles 90.00°, 90.30° and 90.00°. The distinct sites, in fractional coordinates, are Sc at (0.000, 0.000, 0.000), Tl at (0.000, 0.336, 0.500), Fe at (0.000, 0.669, 0.000), F at (0.117, 0.841, 0.810), F at (0.190, 0.142, 0.818) and F at (0.201, 0.524, 0.809).

As for the total magnetic moment: 0.44 μB per atom. The volume comes out at 18.18 Å³ per atom. The value obtained for the total energy is -5.828 eV/atom.


Material: FeSe2F2
Method: DFT, PBE+U
State: optimized geometry

The structure belongs to space group I4/mmm (No. 139); the cell edges are 3.441, 3.441 and 17.852 Å and the angles 90.00°, 90.00° and 90.00°. The distinct sites, in fractional coordinates, are Fe at (0.000, 0.000, 0.000), Se at (0.000, 0.500, 0.250) and F at (0.000, 0.000, 0.434).

As for the offset from the most stable computed form: 687 meV per atom. As for the total magnetic moment: 0.84 μB per atom. The volume comes out at 21.14 Å³ per atom. The value obtained for the total energy is -3.827 eV/atom.


Material: FeSe2F2
Method: DFT, PBE+U
State: optimized geometry

The structure belongs to space group P4/mbm (No. 127); the cell edges are 5.342, 5.342 and 6.978 Å and the angles 90.00°, 90.00° and 90.00°. The distinct sites, in fractional coordinates, are Fe at (0.000, 0.000, 0.000), Se at (0.250, 0.250, 0.500) and F at (0.185, 0.315, 0.000).

As for the offset from the most stable computed form: 0 meV per atom. As for the total magnetic moment: 0.81 μB per atom. The volume comes out at 19.91 Å³ per atom. The value obtained for the total energy is -4.514 eV/atom.


Material: FeSeF3
Method: DFT, PBE+U
State: optimized geometry

The structure belongs to space group Pm-3m (No. 221); the cell edges are 4.157, 4.157 and 4.157 Å and the angles 90.00°, 90.00° and 90.00°. The distinct sites, in fractional coordinates, are Fe at (0.000, 0.000, 0.000), Se at (0.500, 0.500, 0.500) and F at (0.000, 0.000, 0.500).

As for the offset from the most stable computed form: 0 meV per atom. As for the total magnetic moment: 0.45 μB per atom. The volume comes out at 14.37 Å³ per atom. The value obtained for the total energy is -4.203 eV/atom.


Material: FeSe3F
Method: DFT, PBE+U
State: optimized geometry

The structure belongs to space group Pm-3m (No. 221); the cell edges are 4.790, 4.790 and 4.790 Å and the angles 90.00°, 90.00° and 90.00°. The distinct sites, in fractional coordinates, are Fe at (0.000, 0.000, 0.000), Se at (0.000, 0.000, 0.500) and F at (0.500, 0.500, 0.500).

As for the offset from the most stable computed form: 0 meV per atom. As for the total magnetic moment: 0.81 μB per atom. The volume comes out at 21.98 Å³ per atom. The value obtained for the total energy is -3.226 eV/atom.


Material: FeSeF3
Method: DFT, PBE+U
State: optimized geometry

The structure belongs to space group Pm-3m (No. 221); the cell edges are 4.419, 4.419 and 4.419 Å and the angles 90.00°, 90.00° and 90.00°. The distinct sites, in fractional coordinates, are Fe at (0.000, 0.000, 0.000), Se at (0.500, 0.500, 0.500) and F at (0.000, 0.500, 0.500).

As for the offset from the most stable computed form: 759 meV per atom. As for the total magnetic moment: 0.64 μB per atom. The volume comes out at 17.26 Å³ per atom. The value obtained for the total energy is -3.443 eV/atom.


Material: FeSe3F
Method: DFT, PBE+U
State: optimized geometry

The structure belongs to space group Pm-3m (No. 221); the cell edges are 4.631, 4.631 and 4.631 Å and the angles 90.00°, 90.00° and 90.00°. The distinct sites, in fractional coordinates, are Fe at (0.000, 0.000, 0.000), Se at (0.000, 0.500, 0.500) and F at (0.500, 0.500, 0.500).

As for the offset from the most stable computed form: 348 meV per atom. As for the total magnetic moment: 0.92 μB per atom. The volume comes out at 19.86 Å³ per atom. The value obtained for the total energy is -2.878 eV/atom.


Material: Ta2FeSeF
Method: DFT, PBE+U
State: optimized geometry

The structure belongs to space group P4/mmm (No. 123); the cell edges are 4.171, 4.171 and 4.956 Å and the angles 90.00°, 90.00° and 90.00°. The distinct sites, in fractional coordinates, are Ta at (0.000, 0.500, 0.000), Fe at (0.000, 0.000, 0.500), Se at (0.500, 0.500, 0.500) and F at (0.500, 0.500, 0.000).

As for the total magnetic moment: 0.66 μB per atom. The volume comes out at 17.24 Å³ per atom. The value obtained for the total energy is -6.544 eV/atom.


Material: FeSiF
Method: DFT, PBE+U
State: optimized geometry

The structure belongs to space group P-1 (No. 2); the cell edges are 3.024, 4.400 and 8.101 Å and the angles 86.55°, 89.65° and 69.98°. The distinct sites, in fractional coordinates, are Fe at (0.144, 0.215, 0.427), Si at (0.429, 0.648, 0.320) and F at (0.380, 0.756, 0.124).

As for the offset from the most stable computed form: 66 meV per atom. As for the total magnetic moment: 0.96 μB per atom. The volume comes out at 16.84 Å³ per atom. The value obtained for the total energy is -5.029 eV/atom.


Material: FeSiF5
Method: DFT, PBE+U
State: optimized geometry

The structure belongs to space group C2/m (No. 12); the cell edges are 8.436, 6.516 and 3.600 Å and the angles 90.00°, 112.54° and 90.00°. The distinct sites, in fractional coordinates, are Fe at (0.000, 0.000, 0.000), Si at (0.000, 0.500, 0.500), F at (0.000, 0.240, 0.500), F at (0.000, 0.500, 0.000) and F at (0.214, 0.500, 0.692).

As for the total magnetic moment: 0.43 μB per atom. The volume comes out at 13.05 Å³ per atom. The value obtained for the total energy is -5.348 eV/atom.


Material: FeSiF
Method: DFT, PBE+U
State: optimized geometry

The structure belongs to space group I4mm (No. 107); the cell edges are 3.075, 3.075 and 9.889 Å and the angles 90.00°, 90.00° and 90.00°. The distinct sites, in fractional coordinates, are Fe at (0.000, 0.000, 0.000), Si at (0.000, 0.000, 0.393) and F at (0.000, 0.000, 0.220).

As for the offset from the most stable computed form: 151 meV per atom. As for the total magnetic moment: 0.98 μB per atom. The volume comes out at 15.59 Å³ per atom. The value obtained for the total energy is -4.944 eV/atom.